First-principles (PBE-GGA) data for Sr2LaThBi4 after structural relaxation, as listed in the Alexandria database.

Calculated values
DOS(E_F): 0.850 states/eV/atom
Formation energy from the elements: -0.819 eV/atom
DFT total energy: -37.8 eV per cell

Cell: 8.233 4.736 8.265 Å, 90.00 109.32 90.00°
Space group P2/m (No. 10)
Asymmetric unit:
Sr 0.000 0.000 0.000 (multiplicity 1)
Sr 0.500 0.500 0.000 (multiplicity 1)
La 0.000 0.500 0.500 (multiplicity 1)
Th 0.500 0.000 0.500 (multiplicity 1)
Bi 0.250 0.000 0.735 (multiplicity 2)
Bi 0.260 0.500 0.267 (multiplicity 2)



First-principles (PBE-GGA) data for Li2Ir2F after structural relaxation, as listed in the Alexandria database.

Calculated values
DOS(E_F): 0.981 states/eV/atom
Energy above the lowest structure with this stoichiometry: 832 meV/atom
Energy relative to the elements, uncorrected: 0.116 eV per atom
DFT total energy: -45.7 eV per cell

Cell: 7.920 7.920 2.545 Å, 90.00 90.00 90.00°
Space group P4/mbm (No. 127)
Asymmetric unit:
Li 0.183 0.317 0.000 (multiplicity 4)
Ir 0.106 0.606 0.500 (multiplicity 4)
F 0.000 0.000 0.500 (multiplicity 2)



First-principles (PBE-GGA) data for CsTaBe2 after structural relaxation, as listed in the Alexandria database.

Calculated values
DOS(E_F): 0.867 states/eV/atom
Formation energy from the elements: 1.874 eV/atom
DFT total energy: -50.6 eV per cell

Cell: 6.813 6.813 6.813 Å, 90.00 90.00 90.00°
Space group Fm-3m (No. 225)
Asymmetric unit:
Cs 0.000 0.000 0.000 (multiplicity 4)
Ta 0.000 0.000 0.500 (multiplicity 4)
Be 0.250 0.250 0.250 (multiplicity 8)



First-principles (PBE-GGA) data for KNp2AgSe5 after structural relaxation, as listed in the Alexandria database.

Calculated values
DOS(E_F): 1.869 states/eV/atom
Energy relative to the elements, uncorrected: -0.942 eV per atom
DFT total energy: -222.9 eV per cell

Cell: 7.872 7.872 15.447 Å, 90.00 90.00 90.00°
Space group I4/mcm (No. 140)
Asymmetric unit:
K 0.000 0.000 0.250 (multiplicity 4)
Np 0.158 0.342 0.000 (multiplicity 8)
Ag 0.000 0.500 0.250 (multiplicity 4)
Se 0.000 0.000 0.000 (multiplicity 4)
Se 0.149 0.351 0.382 (multiplicity 16)



First-principles (PBE-GGA) data for La6SbTe3Se2 after structural relaxation, as listed in the Alexandria database.

Calculated values
DOS(E_F): 0.610 states/eV/atom
Energy relative to the elements, uncorrected: -1.684 eV per atom
DFT total energy: -140.6 eV per cell

Cell: 7.760 13.441 7.869 Å, 90.00 109.22 90.00°
Space group C2/m (No. 12)
Asymmetric unit:
La 0.233 0.000 0.228 (multiplicity 4)
La 0.249 0.329 0.231 (multiplicity 8)
Sb 0.000 0.500 0.000 (multiplicity 2)
Te 0.000 0.000 0.500 (multiplicity 2)
Te 0.000 0.337 0.500 (multiplicity 4)
Se 0.000 0.168 0.000 (multiplicity 4)



First-principles (PBE-GGA) data for IrWAu after structural relaxation, as listed in the Alexandria database.

Calculated values
DOS(E_F): 0.610 states/eV/atom
Formation energy from the elements: 0.302 eV/atom
Energy above the lowest structure with this stoichiometry: 236 meV/atom
DFT total energy: -96.7 eV per cell

Cell: 2.927 4.671 14.486 Å, 90.00 90.00 90.00°
Space group Fmm2 (No. 42)
Asymmetric unit:
Ir 0.000 0.000 0.000 (multiplicity 4)
W 0.000 0.000 0.350 (multiplicity 4)
Au 0.000 0.000 0.676 (multiplicity 4)



First-principles (PBE-GGA) data for Sc2ReRh2 after structural relaxation, as listed in the Alexandria database.

Calculated values
DOS(E_F): 1.135 states/eV/atom
Formation energy from the elements: -0.271 eV/atom
Energy above the lowest structure with this stoichiometry: 0 meV/atom
DFT total energy: -82.3 eV per cell

Cell: 7.377 7.377 3.089 Å, 90.00 90.00 90.00°
Space group P4/mbm (No. 127)
Asymmetric unit:
Sc 0.169 0.331 0.000 (multiplicity 4)
Re 0.000 0.000 0.500 (multiplicity 2)
Rh 0.133 0.633 0.500 (multiplicity 4)



First-principles (PBE-GGA) data for SiN after structural relaxation, as listed in the Alexandria database.

Calculated values
DOS(E_F): 0.118 states/eV/atom
Energy above the lowest structure with this stoichiometry: 847 meV/atom
Energy relative to the elements, uncorrected: 0.096 eV per atom
DFT total energy: -13.6 eV per cell

Cell: 2.643 2.643 2.844 Å, 90.00 90.00 90.00°
Space group P4/mmm (No. 123)
Asymmetric unit:
Si 0.000 0.000 0.000 (multiplicity 1)
N 0.500 0.500 0.000 (multiplicity 1)